Run a
Below is a relaxed structure of LaGa2TeC, with properties calculated at the PBE level.

```
LaGa2TeC
1.0
4.6653 0.0000 0.0000
0.0000 4.6653 0.0000
0.0000 0.0000 5.7545
La Ga Te C
1 2 1 1
Cartesian
0.0000 0.0000 0.0000
0.0000 2.3327 2.8772
2.3327 0.0000 2.8772
2.3327 2.3327 0.0000
0.0000 0.0000 2.8772
```

Calculated values
Space group ... P4/mmm
Density ... 5.54 g/cm³
Size of the total moment ... 0.00 μB per formula unit

***

Run b
Below is a relaxed structure of LaGa2TeC, with properties calculated at the PBE level.

```
LaGa2TeC
1.0
6.1949 0.0000 0.0000
0.0000 6.1949 0.0000
0.0000 0.0000 5.9741
La Ga Te C
1 2 1 1
Cartesian
0.0000 0.0000 0.0000
0.0000 3.0975 0.0000
3.0975 0.0000 0.0000
0.0000 0.0000 2.9870
3.0975 3.0975 2.9870
```

Calculated values
Space group ... P4/mmm
Density ... 3.03 g/cm³
Size of the total moment ... 2.33 μB per formula unit

***

According to the calculations, the structures order from most to least stable as run a, run b.

***

Run a
Below is a relaxed structure of Li2GaC, with properties calculated at the PBE level.

```
Li2GaC
1.0
0.0000 2.8104 2.8104
2.8104 0.0000 2.8104
2.8104 2.8104 0.0000
Li Ga C
2 1 1
Cartesian
1.4052 1.4052 1.4052
4.2156 4.2156 4.2156
0.0000 0.0000 0.0000
2.8104 2.8104 2.8104
```

Calculated values
Space group ... Fm-3m
Density ... 3.58 g/cm³
Size of the total moment ... 0.00 μB per formula unit

***

Run b
Below is a relaxed structure of Li2GaC, with properties calculated at the PBE level.

```
Li2GaC
1.0
-1.6848 1.6848 8.2554
1.6848 -1.6848 8.2554
1.6848 1.6848 -8.2554
Li Ga C
4 2 2
Cartesian
0.8424 0.6586 -2.0639
1.0262 -0.8424 10.3193
0.8424 1.0262 6.1916
0.6586 2.5271 2.0639
1.6848 0.0000 4.1277
0.0000 0.0000 8.2554
0.0000 0.0000 0.0000
0.0000 1.6848 4.1277
```

Calculated values
Space group ... I-42d
Density ... 3.39 g/cm³
Size of the total moment ... 0.00 μB per formula unit

***

According to the calculations, the structures order from most to least stable as run a, run b.

***

Run a
Below is a relaxed structure of MgGaC2, with properties calculated at the PBE level.

```
MgGaC2
1.0
0.0000 2.7942 2.7942
2.7942 0.0000 2.7942
2.7942 2.7942 0.0000
Mg Ga C
1 1 2
Cartesian
0.0000 0.0000 0.0000
2.7942 2.7942 2.7942
1.3971 1.3971 1.3971
4.1914 4.1914 4.1914
```

Calculated values
Space group ... Fm-3m
Density ... 4.49 g/cm³
Size of the total moment ... 0.00 μB per formula unit

***

Run b
Below is a relaxed structure of MgGaC2, with properties calculated at the PBE level.

```
MgGaC2
1.0
-2.1084 2.1084 6.0054
2.1084 -2.1084 6.0054
2.1084 2.1084 -6.0054
Mg Ga C
2 2 4
Cartesian
0.0000 0.0000 0.0000
0.0000 2.1084 3.0027
2.1084 0.0000 3.0027
0.0000 0.0000 6.0054
1.0542 -0.7418 4.5041
1.3666 1.0542 1.5014
1.0542 2.8503 -1.5014
0.7418 1.0542 7.5068
```

Calculated values
Space group ... I-42d
Density ... 3.67 g/cm³
Size of the total moment ... 0.00 μB per formula unit

***

According to the calculations, the structures order from most to least stable as run b, run a.

***

Run a
Below is a relaxed structure of Mn4GaC, with properties calculated at the PBE level.

```
Mn4GaC
1.0
4.1730 0.0000 0.0000
0.0000 4.9372 0.0000
-1.2087 0.0000 6.7583
Mn Ga C
8 2 2
Cartesian
0.3880 0.0311 1.3856
0.3880 2.4375 1.3856
0.4431 3.7029 3.7186
0.4384 1.2343 4.8162
2.5258 3.7029 1.9421
2.5212 1.2343 3.0397
2.5763 2.4997 5.3727
2.5763 4.9061 5.3727
0.4752 3.7029 6.2612
2.4891 1.2343 0.4971
0.4285 1.2343 2.9393
2.5357 3.7029 3.8190
```

Calculated values
Space group ... P2_1/m
Density ... 7.19 g/cm³
Size of the total moment ... 4.76 μB per formula unit

***

Run b
Below is a relaxed structure of Mn4GaC, with properties calculated at the PBE level.

```
Mn4GaC
1.0
6.1931 0.0000 0.0000
0.0000 4.8022 0.0000
-0.9003 0.0000 4.5550
Mn Ga C
8 2 2
Cartesian
0.2925 0.6487 1.6973
-0.1577 1.7524 3.9748
1.5456 2.6809 2.0738
1.0955 4.5223 4.3514
4.1973 0.2798 0.2037
3.7472 2.1212 2.4812
5.4505 3.0498 0.5802
5.0004 4.1534 2.8578
2.6464 0.0000 2.2775
3.0965 2.4011 0.0000
0.0000 0.0000 0.0000
-0.4501 2.4011 2.2775
```

Calculated values
Space group ... P2_1/c
Density ... 7.39 g/cm³
Size of the total moment ... 0.51 μB per formula unit

***

According to the calculations, the structures order from most to least stable as run a, run b.

***

Run a
Below is a relaxed structure of TiMn2GaC, with properties calculated at the PBE level.

```
TiMn2GaC
1.0
3.8315 0.0000 0.0000
0.0000 3.8315 0.0000
0.0000 0.0000 4.1884
Ti Mn Ga C
1 2 1 1
Cartesian
0.0000 0.0000 0.0000
0.0000 1.9157 2.0942
1.9157 0.0000 2.0942
1.9157 1.9157 0.0000
0.0000 0.0000 2.0942
```

Calculated values
Space group ... P4/mmm
Density ... 6.47 g/cm³
Size of the total moment ... 3.28 μB per formula unit

***

Run b
Below is a relaxed structure of TiMn2GaC, with properties calculated at the PBE level.

```
TiMn2GaC
1.0
3.8132 0.0000 0.0000
0.0000 3.8132 0.0000
0.0000 0.0000 4.1980
Ti Mn Ga C
1 2 1 1
Cartesian
0.0000 0.0000 0.0000
0.0000 1.9066 2.0990
1.9066 0.0000 2.0990
1.9066 1.9066 0.0000
1.9066 1.9066 2.0990
```

Calculated values
Space group ... P4/mmm
Density ... 6.51 g/cm³
Size of the total moment ... 2.93 μB per formula unit

***

According to the calculations, the structures order from most to least stable as run a, run b.

***

Run a
Below is a relaxed structure of GaMoC3, with properties calculated at the PBE level.

```
GaMoC3
1.0
3.8555 0.0000 0.0000
0.0000 3.8555 0.0000
0.0000 0.0000 3.8555
Ga Mo C
1 1 3
Cartesian
0.0000 0.0000 0.0000
1.9278 1.9278 1.9278
0.0000 0.0000 1.9278
0.0000 1.9278 0.0000
1.9278 0.0000 0.0000
```

Calculated values
Space group ... Pm-3m
Density ... 5.84 g/cm³
Size of the total moment ... 0.00 μB per formula unit

***

Run b
Below is a relaxed structure of GaMoC3, with properties calculated at the PBE level.

```
GaMoC3
1.0
4.1323 0.0000 0.0000
0.0000 4.1323 0.0000
0.0000 0.0000 4.1323
Ga Mo C
1 1 3
Cartesian
0.0000 0.0000 0.0000
2.0662 2.0662 2.0662
0.0000 2.0662 2.0662
2.0662 0.0000 2.0662
2.0662 2.0662 0.0000
```

Calculated values
Space group ... Pm-3m
Density ... 4.75 g/cm³
Size of the total moment ... 0.00 μB per formula unit

***

According to the calculations, the structures order from most to least stable as run b, run a.

***

Run a
Below is a relaxed structure of GaMo2C2, with properties calculated at the PBE level.

```
GaMo2C2
1.0
-2.0496 2.0496 4.0320
2.0496 -2.0496 4.0320
2.0496 2.0496 -4.0320
Ga Mo C
1 2 2
Cartesian
0.0000 0.0000 0.0000
2.0496 0.0000 2.0160
0.0000 2.0496 2.0160
0.0000 0.0000 2.4956
0.0000 0.0000 5.5685
```

Calculated values
Space group ... I4/mmm
Density ... 7.00 g/cm³
Size of the total moment ... 0.00 μB per formula unit

***

Run b
Below is a relaxed structure of GaMo2C2, with properties calculated at the PBE level.

```
GaMo2C2
1.0
6.1796 0.0000 0.0000
0.0000 6.1796 0.0000
0.0000 0.0000 2.8781
Ga Mo C
2 4 4
Cartesian
0.0000 0.0000 0.0000
3.0898 3.0898 0.0000
0.9476 2.1422 1.4390
2.1422 5.2320 1.4390
4.0374 0.9476 1.4390
5.2320 4.0374 1.4390
0.8600 3.9498 0.0000
2.2299 0.8600 0.0000
3.9498 5.3197 0.0000
5.3197 2.2299 0.0000
```

Calculated values
Space group ... P4/mbm
Density ... 8.63 g/cm³
Size of the total moment ... 0.00 μB per formula unit

***

According to the calculations, the structures order from most to least stable as run a, run b.

***

Run a
Below is a relaxed structure of Ga2C3N6, with properties calculated at the PBE level.

```
Ga2C3N6
1.0
2.8415 1.6405 9.3425
-2.8415 1.6405 9.3425
0.0000 -3.2811 9.3425
Ga C N
4 6 12
Cartesian
0.0000 0.0000 4.5904
0.0000 0.0000 9.4233
0.0000 0.0000 18.6041
0.0000 0.0000 23.4371
-1.9637 -0.1201 11.6781
-0.8778 -1.7606 16.3494
1.0858 -1.6405 11.6781
-1.0858 1.6405 16.3494
0.8778 1.7606 11.6781
1.9637 0.1201 16.3494
-1.7334 -0.2944 10.4829
-2.2297 -0.0079 12.8733
-1.1080 -1.9349 15.1542
-0.6118 -1.6484 17.5445
1.1217 -1.3540 10.4829
1.1217 -1.9271 12.8733
-1.1217 1.9270 15.1542
-1.1217 1.3540 17.5445
0.6118 1.6484 10.4829
1.1080 1.9349 12.8733
2.2297 0.0079 15.1542
1.7334 0.2944 17.5445
```

Calculated values
Space group ... R-3c
Density ... 3.30 g/cm³
Size of the total moment ... 0.00 μB per formula unit

***

Run b
Below is a relaxed structure of Ga2C3N6, with properties calculated at the PBE level.

```
Ga2C3N6
1.0
10.1831 -1.5338 0.0000
10.1831 1.5338 0.0000
-1.0873 0.0000 4.9199
Ga C N
2 3 6
Cartesian
2.9195 0.0000 0.1259
16.3595 0.0000 4.7940
0.0000 0.0000 0.0000
6.2614 0.0000 2.2001
13.0175 0.0000 2.7199
0.0540 0.0000 4.4851
6.4457 0.0000 0.9792
6.0310 0.0000 3.4072
13.2480 0.0000 1.5127
12.8333 0.0000 3.9407
19.2250 0.0000 0.4348
```

Calculated values
Space group ... C2/m
Density ... 2.80 g/cm³
Size of the total moment ... 0.00 μB per formula unit

***

According to the calculations, the structures order from most to least stable as run a, run b.